A geometry-optimized Pr3Dy7Y2 structure. Source: Alexandria, functional PBE.

Computed properties:
- calculated density (Mg/m³) = 7.3
- calculated total energy (eV/cell) = -58.45
- DOS at the Fermi energy (states/eV/f.u.) = 18.0
- energy of formation from the pure elements (eV/atom) = 0.086
- crystal system = monoclinic

a = 3.549 Å, b = 6.386 Å, c = 18.107 Å
α = 75.70°, β = 90.00°, γ = 90.00°
Sites, in units of the cell vectors:
Dy (0.000, 0.000, 0.000)
Dy (0.000, 0.565, 0.165)
Y (0.500, 0.382, 0.673)
Dy (0.500, 0.058, 0.166)
Dy (0.500, 0.754, 0.500)
Dy (0.000, 0.435, 0.835)
Y (0.500, 0.618, 0.327)
Pr (0.500, 0.500, 0.000)
Pr (0.000, 0.111, 0.341)
Dy (0.500, 0.942, 0.834)
Pr (0.000, 0.889, 0.659)
Dy (0.500, 0.246, 0.500)

A geometry-optimized Ta2TiGaIr structure. Source: Alexandria, functional PBE.

Computed properties:
- calculated density (Mg/m³) = 11.0
- calculated total energy (eV/cell) = -37.65
- DOS at the Fermi energy (states/eV/f.u.) = 2.1
- energy of formation from the pure elements (eV/atom) = 1.168
- crystal system = tetragonal

a = 4.710 Å, b = 4.550 Å, c = 4.710 Å
α = 90.00°, β = 90.00°, γ = 90.00°
Sites, in units of the cell vectors:
Ir (0.000, 0.500, 0.000)
Ti (0.000, 0.000, 0.000)
Ga (0.500, 0.500, 0.500)
Ta (0.500, 0.000, 0.000)
Ta (0.000, 0.000, 0.500)

A geometry-optimized CdPbCl2 structure. Source: Alexandria, functional PBE.

Computed properties:
- calculated density (Mg/m³) = 6.2
- calculated total energy (eV/cell) = -10.32
- relative energy among the computed polymorphs (meV per atom) = 199
- DOS at the Fermi energy (states/eV/f.u.) = 0.9
- crystal system = orthorhombic
- E_form (uncorrected) (meV/atom) = -500.4

a = 4.925 Å, b = 4.925 Å, c = 4.307 Å
α = 90.00°, β = 90.00°, γ = 90.48°
Sites, in units of the cell vectors:
Pb (0.500, 0.000, 0.500)
Cl (0.500, 0.500, 0.000)
Cd (0.000, 0.500, 0.500)
Cl (0.000, 0.000, 0.000)

A geometry-optimized Y2GePt2 structure. Source: Alexandria, functional PBE.

Computed properties:
- calculated density (Mg/m³) = 9.9
- calculated total energy (eV/cell) = -69.46
- DOS at the Fermi energy (states/eV/f.u.) = 2.2
- energy of formation from the pure elements (eV/atom) = -1.021
- crystal system = tetragonal

a = 7.623 Å, b = 7.623 Å, c = 3.698 Å
α = 90.00°, β = 90.00°, γ = 90.00°
Sites, in units of the cell vectors:
Pt (0.870, 0.630, 0.000)
Pt (0.370, 0.870, 0.000)
Ge (0.500, 0.500, 0.000)
Y (0.827, 0.327, 0.500)
Pt (0.630, 0.130, 0.000)
Y (0.327, 0.173, 0.500)
Pt (0.130, 0.370, 0.000)
Y (0.673, 0.827, 0.500)
Y (0.173, 0.673, 0.500)
Ge (0.000, 0.000, 0.000)

A geometry-optimized Tb2NpS6 structure. Source: Alexandria, functional PBE.

Computed properties:
- calculated density (Mg/m³) = 5.2
- calculated total energy (eV/cell) = -119.79
- DOS at the Fermi energy (states/eV/f.u.) = 1.3
- crystal system = tetragonal
- E_form (uncorrected) (meV/atom) = -1436.8

a = 6.317 Å, b = 6.317 Å, c = 12.064 Å
α = 90.00°, β = 90.00°, γ = 90.00°
Last column: magnetic moment on the atom in μB.
Sites, in units of the cell vectors:
Tb (0.500, 0.500, 0.835)  -0.02
S (0.809, 0.191, 0.157)  -0.08
S (0.691, 0.691, 0.343)  -0.08
S (0.290, 0.290, 0.000)  -0.07
S (0.210, 0.790, 0.500)  -0.07
S (0.710, 0.710, 0.000)  -0.07
Np (0.500, 0.500, 0.500)  1.74
Tb (0.000, 0.000, 0.335)  -0.02
S (0.309, 0.309, 0.343)  -0.08
S (0.691, 0.691, 0.657)  -0.08
S (0.191, 0.809, 0.157)  -0.08
S (0.790, 0.210, 0.500)  -0.07
Np (0.000, 0.000, 0.000)  1.74
Tb (0.000, 0.000, 0.665)  -0.02
S (0.809, 0.191, 0.843)  -0.08
S (0.309, 0.309, 0.657)  -0.08
Tb (0.500, 0.500, 0.165)  -0.02
S (0.191, 0.809, 0.843)  -0.08

A geometry-optimized SrAlBr3 structure. Source: Alexandria, functional PBE.

Computed properties:
- calculated density (Mg/m³) = 3.5
- calculated total energy (eV/cell) = -15.14
- DOS at the Fermi energy (states/eV/f.u.) = 1.7
- crystal system = cubic
- E_form (uncorrected) (meV/atom) = -939.3

a = 5.497 Å, b = 5.497 Å, c = 5.497 Å
α = 90.00°, β = 90.00°, γ = 90.00°
Sites, in units of the cell vectors:
Br (0.000, 0.000, 0.500)
Al (0.000, 0.000, 0.000)
Br (0.000, 0.500, 0.000)
Sr (0.500, 0.500, 0.500)
Br (0.500, 0.000, 0.000)

A geometry-optimized K2CuSbF6 structure. Source: Alexandria, functional PBE.

Computed properties:
- calculated density (Mg/m³) = 3.6
- calculated total energy (eV/cell) = -44.05
- crystal system = triclinic
- E_form (uncorrected) (meV/atom) = -2241.1

a = 6.055 Å, b = 6.267 Å, c = 6.533 Å
α = 58.41°, β = 58.73°, γ = 83.74°
Sites, in units of the cell vectors:
F (0.708, 0.632, 0.119)
F (0.275, 0.813, 0.008)
Cu (0.000, 0.000, 0.000)
F (0.292, 0.368, 0.881)
Sb (0.500, 0.500, 0.000)
K (0.275, 0.773, 0.459)
K (0.725, 0.227, 0.541)
F (0.784, 0.786, 0.545)
F (0.216, 0.214, 0.455)
F (0.725, 0.187, 0.992)

A geometry-optimized Li5Rh2 structure. Source: Alexandria, functional PBE.

Computed properties:
- calculated density (Mg/m³) = 3.9
- calculated total energy (eV/cell) = -50.00
- DOS at the Fermi energy (states/eV/f.u.) = 2.9
- energy of formation from the pure elements (eV/atom) = -0.104
- crystal system = monoclinic

a = 4.590 Å, b = 8.699 Å, c = 5.328 Å
α = 89.35°, β = 90.00°, γ = 105.30°
Sites, in units of the cell vectors:
Li (0.936, 0.740, 0.042)
Rh (0.377, 0.865, 0.384)
Li (0.804, 0.740, 0.542)
Li (0.196, 0.260, 0.458)
Rh (0.512, 0.135, 0.116)
Li (0.232, 0.595, 0.662)
Rh (0.623, 0.135, 0.616)
Li (0.768, 0.405, 0.338)
Li (0.933, 0.000, 0.250)
Li (0.064, 0.260, 0.958)
Rh (0.488, 0.865, 0.884)
Li (0.363, 0.595, 0.162)
Li (0.637, 0.405, 0.838)
Li (0.067, 0.000, 0.750)

A geometry-optimized LiThGeRh structure. Source: Alexandria, functional PBE.

Computed properties:
- calculated density (Mg/m³) = 9.3
- calculated total energy (eV/cell) = -23.87
- energy of formation from the pure elements (eV/atom) = -0.641
- crystal system = cubic

a = 4.713 Å, b = 4.713 Å, c = 4.713 Å
α = 60.00°, β = 60.00°, γ = 60.00°
Sites, in units of the cell vectors:
Ge (0.250, 0.250, 0.250)
Th (0.750, 0.750, 0.750)
Rh (0.000, 0.000, 0.000)
Li (0.500, 0.500, 0.500)

A geometry-optimized PrDy2Ga6 structure. Source: Alexandria, functional PBE.

Computed properties:
- calculated density (Mg/m³) = 7.1
- calculated total energy (eV/cell) = -36.54
- relative energy among the computed polymorphs (meV per atom) = 160
- DOS at the Fermi energy (states/eV/f.u.) = 4.0
- energy of formation from the pure elements (eV/atom) = -0.488
- crystal system = orthorhombic

a = 4.358 Å, b = 7.148 Å, c = 7.814 Å
α = 117.22°, β = 106.19°, γ = 90.00°
Sites, in units of the cell vectors:
Ga (0.316, 0.511, 0.632)
Ga (0.684, 0.879, 0.368)
Ga (0.500, 0.182, 0.000)
Ga (0.684, 0.489, 0.368)
Pr (0.000, 0.500, 0.000)
Ga (0.316, 0.121, 0.632)
Dy (0.873, 0.873, 0.746)
Dy (0.127, 0.127, 0.254)
Ga (0.500, 0.818, 0.000)

A geometry-optimized ReTeRh2 structure. Source: Alexandria, functional PBE.

Computed properties:
- calculated density (Mg/m³) = 13.4
- calculated total energy (eV/cell) = -29.01
- DOS at the Fermi energy (states/eV/f.u.) = 3.2
- crystal system = orthorhombic
- E_form (uncorrected) (meV/atom) = 319.7

a = 4.871 Å, b = 4.871 Å, c = 2.914 Å
α = 90.00°, β = 90.00°, γ = 110.90°
Sites, in units of the cell vectors:
Te (0.000, 0.000, 0.500)
Rh (0.500, 0.000, 0.000)
Re (0.500, 0.500, 0.500)
Rh (0.000, 0.500, 0.000)

A geometry-optimized Pu2B4Ir5 structure. Source: Alexandria, functional PBE.

Computed properties:
- calculated density (Mg/m³) = 16.3
- calculated total energy (eV/cell) = -104.05
- DOS at the Fermi energy (states/eV/f.u.) = 19.4
- energy of formation from the pure elements (eV/atom) = -0.397
- crystal system = monoclinic

a = 5.542 Å, b = 5.664 Å, c = 6.208 Å
α = 77.25°, β = 63.49°, γ = 60.71°
Last column: magnetic moment on the atom in μB.
Sites, in units of the cell vectors:
Ir (0.201, 0.238, 0.869)  -0.15
Ir (0.308, 0.762, 0.131)  -0.15
Pu (0.702, 0.228, 0.367)  4.84
Pu (0.298, 0.772, 0.633)  4.84
Ir (0.799, 0.762, 0.131)  -0.15
Ir (0.692, 0.238, 0.869)  -0.15
B (0.778, 0.559, 0.884)  -0.01
B (0.222, 0.441, 0.116)  -0.01
B (0.334, 0.107, 0.225)  -0.03
B (0.666, 0.893, 0.775)  -0.03
Ir (0.000, 0.500, 0.500)  -0.18

Q: Which value of calculated total energy does entry 9 give?
A: -23.87 eV/cell